Entry 1:
The following is a PBE-GGA calculation of an optimized crystal structure of Pr4Ho3Tm8, from Alexandria via LeMat-Bulk.

```
15
Lattice="6.0928 0.0000 3.2860 2.1603 5.6970 3.2860 -2.5649 -1.7705 12.0474" Properties=species:S:1:pos:R:3 pbc="T T T"
Tm 1.2405 2.9722 12.2831
Pr 0.2372 0.1637 14.1434
Ho -0.2023 1.9632 7.6667
Tm 0.1536 0.1060 10.6299
Tm 3.2189 0.1060 12.2831
Pr 0.0000 0.0000 0.0000
Tm 5.5345 3.8204 7.9895
Pr 5.4510 3.7627 4.4761
Tm 1.3303 0.9183 4.8250
Pr 2.8441 1.9632 9.3097
Tm 4.3579 3.0082 13.7944
Ho 1.7639 -0.8853 7.6667
Tm 4.4477 0.9543 6.3363
Ho -1.2825 -0.8853 6.0237
Tm 2.4693 3.8204 6.3363
```

Properties
Energy relative to the elements   118.6 meV per atom
Space group   R-3m (166)
Size of the total moment   0.000 Bohr magnetons per cell

Entry 2:
The following is a PBE-GGA calculation of an optimized crystal structure of Sm3MgTl4, from Alexandria via LeMat-Bulk.

```
8
Lattice="-3.4633 0.2113 -1.1183 -0.7459 -3.1271 1.7190 -3.8901 8.4256 13.6398" Properties=species:S:1:pos:R:3 pbc="T T T"
Sm -4.0497 2.7549 7.1202
Tl -1.4314 3.1002 5.0188
Sm -3.0315 0.5497 3.5503
Sm -5.0678 4.9601 10.6901
Tl -3.4732 7.5225 12.1778
Tl -0.4170 0.9031 1.4619
Tl -2.4587 5.3253 8.6210
Mg -2.1046 -1.4579 0.3003
```

Properties
Energy relative to the elements   -294.5 meV per atom
Space group   P4/mmm (123)
Size of the total moment   0.000 Bohr magnetons per cell
ΔE to the lowest computed polymorph   0.000 kcal/mol of atoms